(1)
The following is a PBE-GGA calculation of ZrAlNiOs after structural relaxation, from the Alexandria database.

Lattice parameters (Å, degrees): 4.4325 4.4325 4.4325 60.00 60.00 60.00
Last column: nearest neighbours and their distance in Å.
Positions (direct):
Ni: 0.2500 0.2500 0.2500  4 Al 2.71, 4 Zr 2.71
Os: 0.7500 0.7500 0.7500  4 Zr 2.71, 4 Al 2.71
Al: 0.0000 0.0000 0.0000  4 Os 2.71, 4 Ni 2.71
Zr: 0.5000 0.5000 0.5000  4 Ni 2.71, 4 Os 2.71

## Properties
Formation enthalpy at 0 K: -46.9 kJ/mol of atoms
Total magnetic moment: 0.00 μB per formula unit

(2)
The following is a PBE-GGA calculation of Al3Ni20P6 after structural relaxation, from the Alexandria database.

Lattice parameters (Å, degrees): 7.8032 7.8032 7.8032 60.00 60.00 60.00
Last column: nearest neighbours and their distance in Å.
Positions (direct):
Al: 0.7500 0.7500 0.7500  4 Ni 2.48
Al: 0.2500 0.2500 0.2500  4 Ni 2.48
Al: 0.0000 0.0000 0.0000  12 Ni 2.69, 6 P 2.96
Ni: 0.3796 0.3796 0.8611  3 P 2.24, 1 Al 2.48
Ni: 0.1389 0.6204 0.6204  3 P 2.24, 1 Al 2.48
Ni: 0.6550 0.0000 0.0000  2 P 2.18, 1 Ni 2.42
Ni: 0.6550 0.3450 0.0000  2 P 2.18, 1 Ni 2.42
Ni: 0.0000 0.0000 0.6550  2 P 2.18, 1 Ni 2.42
Ni: 0.3796 0.8611 0.3796  3 P 2.24, 1 Al 2.48
Ni: 0.0000 0.3450 0.6550  2 P 2.18, 1 Ni 2.42
Ni: 0.6550 0.0000 0.3450  2 P 2.18, 1 Ni 2.42
Ni: 0.0000 0.6550 0.0000  2 P 2.18, 1 Ni 2.42
Ni: 0.0000 0.0000 0.3450  2 P 2.18, 1 Ni 2.42
Ni: 0.3450 0.0000 0.6550  2 P 2.18, 1 Ni 2.42
Ni: 0.0000 0.3450 0.0000  2 P 2.18, 1 Ni 2.42
Ni: 0.3450 0.6550 0.0000  2 P 2.18, 1 Ni 2.42
Ni: 0.3450 0.0000 0.0000  2 P 2.18, 1 Ni 2.42
Ni: 0.3796 0.3796 0.3796  3 P 2.24, 1 Al 2.48
Ni: 0.6204 0.6204 0.1389  3 P 2.24, 1 Al 2.48
Ni: 0.6204 0.6204 0.6204  3 P 2.24, 1 Al 2.48
Ni: 0.6204 0.1389 0.6204  3 P 2.24, 1 Al 2.48
Ni: 0.8611 0.3796 0.3796  3 P 2.24, 1 Al 2.48
Ni: 0.0000 0.6550 0.3450  2 P 2.18, 1 Ni 2.42
P: 0.2686 0.7314 0.7314  8 Ni 2.18-2.24
P: 0.7314 0.2686 0.2686  8 Ni 2.18-2.24
P: 0.2686 0.2686 0.7314  8 Ni 2.18-2.24
P: 0.7314 0.2686 0.7314  8 Ni 2.18-2.24
P: 0.2686 0.7314 0.2686  8 Ni 2.18-2.24
P: 0.7314 0.7314 0.2686  8 Ni 2.18-2.24

## Properties
Formation enthalpy at 0 K: -46.6 kJ/mol of atoms
Total magnetic moment: 0.00 μB per formula unit

(3)
The following is a PBE-GGA calculation of AlNi2P after structural relaxation, from the Alexandria database.

Lattice parameters (Å, degrees): 4.2723 4.2723 4.2723 129.75 126.14 76.75
Last column: nearest neighbours and their distance in Å.
Positions (direct):
Ni: 0.9817 0.9817 0.0000  4 P 2.39-2.64, 4 Al 2.48-2.55, 4 Ni 2.66
Ni: 0.5183 0.5183 0.0000  4 P 2.39-2.64, 4 Al 2.48-2.55, 4 Ni 2.66
Al: 0.2500 0.7500 0.5000  8 Ni 2.48-2.55, 4 P 2.65
P: 0.7500 0.2500 0.5000  8 Ni 2.39-2.64, 4 Al 2.65

## Properties
Formation enthalpy at 0 K: -31.4 kJ/mol of atoms
Total magnetic moment: 0.00 μB per formula unit

Q: The lowest formation enthalpy at 0 K belongs to which entry?
A: ZrAlNiOs